(1)
# CoINO2

Crystalline CoINO2 at its relaxed geometry (GGA+U, Alexandria).

Calculated values
**M_tot**: 0.02 μB/atom
**Total energy**: -4.377 eV/atom

Structure (CIF):
```
data_CoINO2
_chemical_formula_sum 'Co1 I1 N1 O2'
_symmetry_space_group_name_H-M 'P 4/m m m'
_symmetry_Int_Tables_number 123
_symmetry_space_group_name_Hall '-P 4 2'
_cell_length_a 3.7415
_cell_length_b 3.7415
_cell_length_c 3.8967
_cell_angle_alpha 90.00
_cell_angle_beta 90.00
_cell_angle_gamma 90.00
loop_
_atom_site_label
_atom_site_fract_x
_atom_site_fract_y
_atom_site_fract_z
Co1 0.0000 0.0000 0.0000
I1 0.5000 0.5000 0.5000
N1 0.0000 0.0000 0.5000
O1 0.0000 0.5000 0.0000
```

---

(2)
# CoINO2

Crystalline CoINO2 at its relaxed geometry (GGA+U, Alexandria).

Calculated values
**M_tot**: 0.65 μB/atom
**Total energy**: -3.566 eV/atom

Structure (CIF):
```
data_CoINO2
_chemical_formula_sum 'Co1 I1 N1 O2'
_symmetry_space_group_name_H-M 'P 4/m m m'
_symmetry_Int_Tables_number 123
_symmetry_space_group_name_Hall '-P 4 2'
_cell_length_a 3.9032
_cell_length_b 3.9032
_cell_length_c 4.3249
_cell_angle_alpha 90.00
_cell_angle_beta 90.00
_cell_angle_gamma 90.00
loop_
_atom_site_label
_atom_site_fract_x
_atom_site_fract_y
_atom_site_fract_z
Co1 0.0000 0.0000 0.0000
I1 0.5000 0.5000 0.0000
N1 0.5000 0.5000 0.5000
O1 0.0000 0.5000 0.5000
```

---

(3)
# CoINO2

Crystalline CoINO2 at its relaxed geometry (GGA+U, Alexandria).

Calculated values
**M_tot**: 0.76 μB/atom
**Total energy**: -4.361 eV/atom

Structure (CIF):
```
data_CoINO2
_chemical_formula_sum 'Co1 I1 N1 O2'
_symmetry_space_group_name_H-M 'P 4/m m m'
_symmetry_Int_Tables_number 123
_symmetry_space_group_name_Hall '-P 4 2'
_cell_length_a 3.4967
_cell_length_b 3.4967
_cell_length_c 7.8765
_cell_angle_alpha 90.00
_cell_angle_beta 90.00
_cell_angle_gamma 90.00
loop_
_atom_site_label
_atom_site_fract_x
_atom_site_fract_y
_atom_site_fract_z
Co1 0.0000 0.0000 0.0000
I1 0.0000 0.0000 0.5000
N1 0.5000 0.5000 0.5000
O1 0.0000 0.5000 0.0000
```

---

(4)
# CoINO2

Crystalline CoINO2 at its relaxed geometry (GGA+U, Alexandria).

Calculated values
**M_tot**: 0.49 μB/atom
**Total energy**: -3.996 eV/atom

Structure (CIF):
```
data_CoINO2
_chemical_formula_sum 'Co1 I1 N1 O2'
_symmetry_space_group_name_H-M 'P 4/m m m'
_symmetry_Int_Tables_number 123
_symmetry_space_group_name_Hall '-P 4 2'
_cell_length_a 4.0523
_cell_length_b 4.0523
_cell_length_c 4.0927
_cell_angle_alpha 90.00
_cell_angle_beta 90.00
_cell_angle_gamma 90.00
loop_
_atom_site_label
_atom_site_fract_x
_atom_site_fract_y
_atom_site_fract_z
Co1 0.0000 0.0000 0.0000
I1 0.5000 0.5000 0.5000
N1 0.5000 0.5000 0.0000
O1 0.0000 0.5000 0.5000
```